DFT (PBE) results for crystalline CrCd2Au at its relaxed geometry.

Cell lengths 5.119, 5.119, 5.049 Å; angles 77.41, 77.41, 36.74 degrees
Positions (direct):
Cr 0.507 0.507 0.492
Au 0.240 0.240 0.263
Cd 0.758 0.758 0.739
Cd 0.995 0.995 0.006

- DFT formation energy (meV/atom) = 150
- energy above the lowest structure with this stoichiometry (meV/atom) = 49.0


DFT (PBE) results for crystalline NaPm5Cd4 at its relaxed geometry.

Cell lengths 3.877, 3.877, 19.539 Å; angles 90.00, 90.00, 90.00 degrees
Positions (direct):
Pm 0.500 0.500 0.308
Pm 0.500 0.500 0.121
Pm 0.500 0.500 0.500
Pm 0.500 0.500 0.692
Pm 0.500 0.500 0.879
Cd 0.000 0.000 0.211
Cd 0.000 0.000 0.789
Cd 0.000 0.000 0.403
Cd 0.000 0.000 0.597
Na 0.000 0.000 0.000

- DFT formation energy (meV/atom) = -198


DFT (PBE) results for crystalline Pm6Pr3SmEr2 at its relaxed geometry.

Cell lengths 6.311, 6.311, 12.065 Å; angles 95.01, 95.01, 120.01 degrees
Positions (direct):
Pr 0.833 0.167 0.500
Pr 0.500 0.500 0.500
Pr 0.167 0.833 0.500
Er 0.333 0.667 0.000
Er 0.667 0.333 0.000
Pm 0.416 0.082 0.245
Pm 0.918 0.584 0.755
Pm 0.252 0.252 0.755
Pm 0.082 0.416 0.245
Pm 0.584 0.918 0.755
Pm 0.748 0.748 0.245
Sm 0.000 0.000 0.000

- DFT formation energy (meV/atom) = 17


DFT (PBE) results for crystalline CdIn2PtCl at its relaxed geometry.

Cell lengths 5.200, 5.200, 5.294 Å; angles 90.00, 90.00, 90.00 degrees
Positions (direct):
Cd 0.000 0.000 0.500
Cl 0.500 0.500 0.500
Pt 0.000 0.000 0.000
In 0.500 0.000 0.000
In 0.000 0.500 0.000

- ΔE_f (raw) (meV per atom) = -488


DFT (PBE) results for crystalline PaAs2IO8 at its relaxed geometry.

Cell lengths 5.755, 5.755, 8.948 Å; angles 90.00, 90.00, 120.00 degrees
Positions (direct):
O 0.175 0.349 0.858
O 0.825 0.175 0.142
O 0.175 0.825 0.858
O 0.651 0.825 0.858
O 0.667 0.333 0.409
O 0.825 0.651 0.142
O 0.333 0.667 0.591
O 0.349 0.175 0.142
Pa 0.000 0.000 0.000
As 0.333 0.667 0.780
As 0.667 0.333 0.220
I 0.000 0.000 0.500

- ΔE_f (raw) (meV per atom) = -1570


DFT (PBE) results for crystalline SrSn2Bi at its relaxed geometry.

Cell lengths 5.114, 4.876, 4.876 Å; angles 90.00, 90.00, 90.00 degrees
Positions (direct):
Sr 0.500 0.000 0.000
Sn 0.000 0.000 0.500
Sn 0.000 0.500 0.000
Bi 0.500 0.500 0.500

- DFT formation energy (meV/atom) = -400